{
  "formula": "InAg2Os",
  "functional": "PBE",
  "state": "optimized geometry",
  "lattice_angstrom": [[-2.1869, 2.1869, 3.6652], [2.1869, -2.1869, 3.6652], [2.1869, 2.1869, -3.6652]],
  "species": ["In", "Ag", "Ag", "Os"],
  "fractional_positions": [[0.0000, 0.0000, 0.0000], [0.5000, 0.5000, 0.0000], [0.7500, 0.2500, 0.5000], [0.2500, 0.7500, 0.5000]],
  "sg": "I-4m2 (119)"
}



{
  "formula": "LaTb5Th2",
  "functional": "PBE",
  "state": "optimized geometry",
  "lattice_angstrom": [[-1.7798, 5.6396, 6.6565], [1.7798, -5.6396, 6.6565], [1.7798, 5.6396, -6.6565]],
  "species": ["La", "Tb", "Tb", "Tb", "Tb", "Tb", "Th", "Th"],
  "fractional_positions": [[0.0000, 0.0000, 0.0000], [0.1411, 0.3675, 0.7736], [0.4060, 0.6325, 0.7736], [0.5000, 0.0000, 0.5000], [0.5940, 0.3675, 0.2264], [0.8589, 0.6325, 0.2264], [0.2373, 0.7373, 0.5000], [0.7627, 0.2627, 0.5000]],
  "sg": "Immm (71)"
}



no.,uncorrected energy (Ry per atom),total moment (μB per formula unit),formation energy (meV per atom)
1,-0.32252,0.000,530
2,-0.38769,0.000,90